(1)
# KTe2Pd, relaxed, DFT PBE
# D(E_F): 10.6 states/eV/cell
# Total magnetic moment: 0.0 Bohr magnetons per cell
# Formation energy from raw total energies: -1.90 eV/f.u.
# Calculated density: 5.36 g cm⁻³
data_KTe2Pd
_cell_length_a 6.907
_cell_length_b 6.907
_cell_length_c 6.907
_cell_angle_alpha 104.88
_cell_angle_beta 104.88
_cell_angle_gamma 119.11
_symmetry_space_group_name_H-M 'P 1'
_symmetry_Int_Tables_number 1
_symmetry_space_group_name_Hall 'P 1'
loop_
_atom_site_label
_atom_site_type_symbol
_atom_site_fract_x
_atom_site_fract_y
_atom_site_fract_z
_atom_site_occupancy
K1 K 0.000 0.000 0.000 1
K2 K 0.750 0.250 0.500 1
Te1 Te 0.217 0.625 0.092 1
Te2 Te 0.375 0.467 0.592 1
Te3 Te 0.533 0.125 0.908 1
Te4 Te 0.875 0.783 0.408 1
Pd1 Pd 0.250 0.750 0.500 1
Pd2 Pd 0.500 0.500 0.000 1

(2)
# ZnPbW2, relaxed, DFT PBE
# D(E_F): 3.4 states/eV/cell
# E above lowest polymorph: 0.588 eV per atom
# Total magnetic moment: 0.0 Bohr magnetons per cell
# Calculated density: 15.31 g cm⁻³
data_ZnPbW2
_cell_length_a 4.614
_cell_length_b 4.614
_cell_length_c 4.614
_cell_angle_alpha 60.00
_cell_angle_beta 60.00
_cell_angle_gamma 60.00
_symmetry_space_group_name_H-M 'P 1'
_symmetry_Int_Tables_number 1
_symmetry_space_group_name_Hall 'P 1'
loop_
_atom_site_label
_atom_site_type_symbol
_atom_site_fract_x
_atom_site_fract_y
_atom_site_fract_z
_atom_site_occupancy
Zn1 Zn 0.000 0.000 0.000 1
Pb1 Pb 0.500 0.500 0.500 1
W1 W 0.250 0.250 0.250 1
W2 W 0.750 0.750 0.750 1

- Look up the calculated density of the first one.
  5.36 g cm⁻³